Record 1
VASP calculation (PBE) on crystalline BC at its relaxed geometry.

Cell and atoms, written as CIF:
```
data_BC
_space_group_name_H-M_alt 'C 1 m 1'
_space_group_IT_number 8
_space_group_name_Hall 'C -2y'
_cell_length_a 13.415
_cell_length_b 2.654
_cell_length_c 4.716
_cell_angle_alpha 90.00
_cell_angle_beta 107.12
_cell_angle_gamma 90.00
loop_
_atom_site_label
_atom_site_type_symbol
_atom_site_fract_x
_atom_site_fract_y
_atom_site_fract_z
B1 B 0.000 0.000 0.000
B2 B 0.001 0.500 0.397
B3 B 0.118 0.500 0.668
B4 B 0.157 0.500 0.322
B5 B 0.319 0.000 0.642
B6 B 0.476 0.000 0.731
C1 C 0.125 0.000 0.111
C2 C 0.171 0.000 0.860
C3 C 0.289 0.000 0.956
C4 C 0.290 0.500 0.439
C5 C 0.328 0.500 0.154
C6 C 0.446 0.500 0.252
```

Results
DOS(E_F) in states/eV per atom: 0.214
Total magnetization in μB per formula unit: 0.00
E_form in meV/atom: 413


Record 2
VASP calculation (PBE) on crystalline BC at its relaxed geometry.

Cell and atoms, written as CIF:
```
data_BC
_space_group_name_H-M_alt 'C 1 m 1'
_space_group_IT_number 8
_space_group_name_Hall 'C -2y'
_cell_length_a 13.828
_cell_length_b 2.591
_cell_length_c 4.815
_cell_angle_alpha 90.00
_cell_angle_beta 106.65
_cell_angle_gamma 90.00
loop_
_atom_site_label
_atom_site_type_symbol
_atom_site_fract_x
_atom_site_fract_y
_atom_site_fract_z
B1 B 0.000 0.000 0.000
B2 B 0.020 0.000 0.651
B3 B 0.133 0.500 0.265
B4 B 0.190 0.000 0.531
B5 B 0.329 0.500 0.810
B6 B 0.349 0.000 0.341
C1 C 0.013 0.500 0.180
C2 C 0.140 0.000 0.827
C3 C 0.185 0.500 0.998
C4 C 0.300 0.500 0.109
C5 C 0.309 0.000 0.630
C6 C 0.471 0.000 0.438
```

Results
DOS(E_F) in states/eV per atom: 0.232
Total magnetization in μB per formula unit: 0.00
E_form in meV/atom: 391


Record 3
VASP calculation (PBE) on crystalline B3C5 at its relaxed geometry.

Cell and atoms, written as CIF:
```
data_B3C5
_space_group_name_H-M_alt 'R 3 m'
_space_group_IT_number 160
_space_group_name_Hall 'R 3 -2"'
_cell_length_a 2.6119
_cell_length_b 2.6119
_cell_length_c 26.2828
_cell_angle_alpha 90.00
_cell_angle_beta 90.00
_cell_angle_gamma 120.00
loop_
_atom_site_label
_atom_site_type_symbol
_atom_site_fract_x
_atom_site_fract_y
_atom_site_fract_z
B1 B 0.0000 0.0000 0.0000
B2 B 0.0000 0.0000 0.1897
B3 B 0.0000 0.0000 0.4398
C1 C 0.0000 0.0000 0.2542
C2 C 0.0000 0.0000 0.4999
C3 C 0.0000 0.0000 0.6915
C4 C 0.0000 0.0000 0.7458
C5 C 0.0000 0.0000 0.9369
```

Results
DOS(E_F) in states/eV per atom: 0.258
Total magnetization in μB per formula unit: 0.00
E_form in meV/atom: 334


Record 4
VASP calculation (PBE) on crystalline BC at its relaxed geometry.

Cell and atoms, written as CIF:
```
data_BC
_space_group_name_H-M_alt 'P m m a'
_space_group_IT_number 51
_space_group_name_Hall '-P 2a 2a'
_cell_length_a 2.558
_cell_length_b 2.717
_cell_length_c 11.854
_cell_angle_alpha 90.00
_cell_angle_beta 90.00
_cell_angle_gamma 90.00
loop_
_atom_site_label
_atom_site_type_symbol
_atom_site_fract_x
_atom_site_fract_y
_atom_site_fract_z
B1 B 0.250 0.000 0.065
B2 B 0.250 0.000 0.379
B3 B 0.250 0.500 0.775
C1 C 0.250 0.000 0.705
C2 C 0.250 0.500 0.124
C3 C 0.250 0.500 0.467
```

Results
DOS(E_F) in states/eV per atom: 0.318
Total magnetization in μB per formula unit: 0.00
E_form in meV/atom: 384